VASP calculation (GGA-PBE) on a geometry-optimized Tl3GeF7 structure.

a b c (Å): 8.2009 8.2009 6.0239
angles (deg): 90.00 90.00 90.00
Last column: nearest neighbours and their distance in Å.
Element x y z (fractional)
Tl  0.6989  0.1989  0.5000  6 F 2.79-3.05
Tl  0.3011  0.8011  0.5000  6 F 2.79-3.05
Tl  0.1989  0.3011  0.5000  6 F 2.79-3.05
Tl  0.8011  0.6989  0.5000  6 F 2.79-3.05
Tl  0.0000  0.0000  0.0000  6 F 3.01-3.09
Tl  0.5000  0.5000  0.0000  6 F 3.01-3.09
Ge  0.5000  0.0000  0.0000  6 F 1.83-1.84
Ge  0.0000  0.5000  0.0000  6 F 1.83-1.84
F  0.1107  0.6107  0.2176  1 Ge 1.83
F  0.8893  0.3893  0.7824  1 Ge 1.83
F  0.8893  0.3893  0.2176  1 Ge 1.83
F  0.6107  0.8893  0.2176  1 Ge 1.83
F  0.6107  0.8893  0.7824  1 Ge 1.83
F  0.1107  0.6107  0.7824  1 Ge 1.83
F  0.3893  0.1107  0.7824  1 Ge 1.83
F  0.3893  0.1107  0.2176  1 Ge 1.83
F  0.6583  0.1583  0.0000  1 Ge 1.84
F  0.3417  0.8417  0.0000  1 Ge 1.84
F  0.1583  0.3417  0.0000  1 Ge 1.84
F  0.8417  0.6583  0.0000  1 Ge 1.84
F  0.0000  0.0000  0.5000  6 Tl 2.96-3.01
F  0.5000  0.5000  0.5000  6 Tl 2.96-3.01

Computed properties:
As for the crystal system: tetragonal. The space group is P4/mbm, No. 127. For the formation energy from raw total energies, the calculation gives -2162 meV per atom. For the energy above the lowest structure with this stoichiometry, the calculation gives 0.010 eV per atom.


VASP calculation (GGA-PBE) on a geometry-optimized Na5ZrS5 structure.

a b c (Å): 5.3868 7.1357 7.8368
angles (deg): 106.73 90.00 112.18
Last column: nearest neighbours and their distance in Å.
Element x y z (fractional)
Na  0.6965  0.3931  0.3251  5 S 2.76-3.02
Na  0.6827  0.3654  0.8613  5 S 2.75-2.94
Na  0.0000  0.0000  0.5000  4 S 2.69-2.84
Na  0.3173  0.6346  0.1387  5 S 2.75-2.94
Na  0.3035  0.6069  0.6749  5 S 2.76-3.02
Zr  0.0000  0.0000  0.0000  6 S 2.56-2.69
S  0.8608  0.7217  0.1659  1 Zr 2.56, 5 Na 2.69-2.82
S  0.8509  0.7017  0.6934  1 Zr 2.59, 3 Na 2.76-2.84
S  0.5000  0.0000  0.0000  2 Zr 2.69, 2 Na 2.94
S  0.1491  0.2983  0.3066  1 Zr 2.59, 3 Na 2.76-2.84
S  0.1392  0.2783  0.8341  1 Zr 2.56, 5 Na 2.69-2.82

Computed properties:
As for the crystal system: monoclinic. The space group is C2/m, No. 12. For the formation energy from raw total energies, the calculation gives -1112 meV per atom.


VASP calculation (GGA-PBE) on a geometry-optimized CaLuRe4 structure.

a b c (Å): 5.3900 5.3900 5.3900
angles (deg): 60.00 60.00 60.00
Last column: nearest neighbours and their distance in Å.
Element x y z (fractional)
Re  0.6250  0.6250  0.1251  6 Re 2.69-2.70
Re  0.6250  0.1251  0.6250  6 Re 2.69-2.70
Re  0.6250  0.6250  0.6250  6 Re 2.69-2.70
Re  0.1251  0.6250  0.6250  6 Re 2.69-2.70
Ca  0.2500  0.2500  0.2500  12 Re 3.16, 4 Lu 3.30
Lu  0.0000  0.0000  0.0000  12 Re 3.16, 4 Ca 3.30

Computed properties:
As for the crystal system: cubic. The space group is F-43m, No. 216. As for the energy relative to the elements: -0.025 eV per atom.


VASP calculation (GGA-PBE) on a geometry-optimized TiFeHIr2 structure.

a b c (Å): 3.9026 3.9026 3.7673
angles (deg): 90.00 90.00 90.00
Last column: nearest neighbours and their distance in Å.
Element x y z (fractional)
H  0.0000  0.0000  0.0000  2 Fe 1.88, 4 Ir 1.95
Ir  0.0000  0.5000  0.0000  2 H 1.95
Ir  0.5000  0.0000  0.0000  2 H 1.95
Fe  0.0000  0.0000  0.5000  2 H 1.88
Ti  0.5000  0.5000  0.5000  8 Ir 2.71, 4 Fe 2.76

Computed properties:
As for the crystal system: tetragonal. The space group is P4/mmm, No. 123. For the energy above the lowest structure with this stoichiometry, the calculation gives 0.000 eV per atom.


VASP calculation (GGA-PBE) on a geometry-optimized AlGeC2F structure.

a b c (Å): 3.9427 3.8754 3.9427
angles (deg): 90.00 90.00 90.00
Last column: nearest neighbours and their distance in Å.
Element x y z (fractional)
C  0.0000  0.0000  0.5000  2 Ge 1.97
C  0.5000  0.0000  0.0000  2 Ge 1.97
Ge  0.0000  0.0000  0.0000  2 F 1.94, 4 C 1.97
Al  0.5000  0.5000  0.5000  8 C 2.76, 4 F 2.79
F  0.0000  0.5000  0.0000  2 Ge 1.94

Computed properties:
As for the crystal system: tetragonal. The space group is P4/mmm, No. 123. For the formation energy from raw total energies, the calculation gives 1037 meV per atom.


VASP calculation (GGA-PBE) on a geometry-optimized CaNi3 structure.

a b c (Å): 5.6385 5.6385 8.6178
angles (deg): 90.00 90.00 120.00
Last column: nearest neighbours and their distance in Å.
Element x y z (fractional)
Ni  0.5000  0.0000  0.0000  8 Ni 2.63-2.82, 4 Ca 2.70-2.82
Ni  0.5000  0.0000  0.5000  8 Ni 2.63-2.82, 4 Ca 2.70-2.82
Ni  0.0000  0.5000  0.0000  8 Ni 2.63-2.82, 4 Ca 2.70-2.82
Ni  0.5000  0.5000  0.0000  8 Ni 2.63-2.82, 4 Ca 2.70-2.82
Ni  0.5000  0.5000  0.5000  8 Ni 2.63-2.82, 4 Ca 2.70-2.82
Ni  0.0000  0.5000  0.5000  8 Ni 2.63-2.82, 4 Ca 2.70-2.82
Ni  0.8058  0.6117  0.2500  6 Ni 2.35-2.63
Ni  0.1942  0.3883  0.7500  6 Ni 2.35-2.63
Ni  0.3883  0.1942  0.2500  6 Ni 2.35-2.63
Ni  0.8058  0.1942  0.2500  6 Ni 2.35-2.63
Ni  0.1942  0.8058  0.7500  6 Ni 2.35-2.63
Ni  0.6117  0.8058  0.7500  6 Ni 2.35-2.63
Ca  0.0000  0.0000  0.0000  12 Ni 2.82-2.87
Ca  0.0000  0.0000  0.5000  12 Ni 2.82-2.87
Ca  0.3333  0.6667  0.2500  12 Ni 2.70-2.83
Ca  0.6667  0.3333  0.7500  12 Ni 2.70-2.83

Computed properties:
As for the crystal system: hexagonal. The space group is P6_3/mmc, No. 194. As for the energy relative to the elements: 0.151 eV per atom.


VASP calculation (GGA-PBE) on a geometry-optimized SiNi2Au structure.

a b c (Å): 4.4369 4.4369 4.4369
angles (deg): 128.73 128.73 75.45
Last column: nearest neighbours and their distance in Å.
Element x y z (fractional)
Au  0.7500  0.2500  0.5000  8 Ni 2.60, 4 Si 2.71
Ni  0.0000  0.0000  0.0000  4 Au 2.60, 4 Si 2.60, 4 Ni 2.71
Ni  0.5000  0.5000  0.0000  4 Si 2.60, 4 Au 2.60, 4 Ni 2.71
Si  0.2500  0.7500  0.5000  8 Ni 2.60, 4 Au 2.71

Computed properties:
As for the crystal system: tetragonal. The space group is I4/mmm, No. 139. For the formation energy from raw total energies, the calculation gives -110 meV per atom.


VASP calculation (GGA-PBE) on a geometry-optimized RbPb3W structure.

a b c (Å): 5.5140 5.5140 5.5140
angles (deg): 90.00 90.00 90.00
Last column: nearest neighbours and their distance in Å.
Element x y z (fractional)
Pb  0.0000  0.5000  0.0000  2 W 2.76
Pb  0.0000  0.0000  0.5000  2 W 2.76
Pb  0.5000  0.0000  0.0000  2 W 2.76
Rb  0.5000  0.5000  0.5000  12 Pb 3.90
W  0.0000  0.0000  0.0000  6 Pb 2.76

Computed properties:
As for the crystal system: cubic. The space group is Pm-3m, No. 221. As for the energy relative to the elements: 0.387 eV per atom. For the energy above the lowest structure with this stoichiometry, the calculation gives 0.000 eV per atom.


| no. | mass density (g cm⁻³) |
| --- | --- |
| 1 | 6.7 |
| 2 | 2.3 |
| 3 | 14.4 |
| 4 | 14.2 |
| 5 | 3.9 |
| 6 | 6.1 |
| 7 | 11.0 |
| 8 | 8.8 |